The following is a PBE-GGA calculation of a relaxed Ba2SrAl6 crystal, from Alexandria.

Raw total energy = -3.08 eV/atom
Energy relative to the elements = 0.031 eV per atom
Energy above the most stable polymorph in this dataset = 121 meV/atom

Structure (POSCAR):
```
Ba2SrAl6
1.0
-1.825 5.461 6.736
1.825 -5.461 6.736
1.825 5.461 -6.736
Ba Sr Al
2 1 6
Direct
0.135 0.135 0.000 Ba
0.865 0.865 0.000 Ba
0.500 0.000 0.500 Sr
0.109 0.318 0.791 Al
0.218 0.500 0.718 Al
0.473 0.682 0.791 Al
0.527 0.318 0.209 Al
0.782 0.500 0.282 Al
0.891 0.682 0.209 Al
```